Version P
Compound: Sr3P2
Source: Alexandria
Functional: PBEsol
Structure: optimized geometry

abc: 9.227 9.227 15.257
angles: 107.60 107.60 90.00
Element x y z (fractional)
Sr: 0.746 0.374 0.370
Sr: 0.624 0.997 0.370
P: 0.608 0.202 0.925
Sr: 0.247 0.374 0.870
P: 0.914 0.414 0.827
Sr: 0.937 0.355 0.038
Sr: 0.626 0.376 0.130
Sr: 0.959 0.699 0.781
Sr: 0.624 0.496 0.870
Sr: 0.918 0.041 0.219
P: 0.934 0.548 0.575
Sr: 0.003 0.254 0.630
Sr: 0.317 0.063 0.962
P: 0.452 0.358 0.425
P: 0.625 0.754 0.750
P: 0.798 0.684 0.075
Sr: 0.332 0.572 0.281
Sr: 0.949 0.709 0.281
Sr: 0.301 0.178 0.219
Sr: 0.605 0.687 0.538
P: 0.316 0.723 0.925
Sr: 0.291 0.668 0.719
P: 0.642 0.027 0.575
Sr: 0.313 0.067 0.462
P: 0.336 0.336 0.673
Sr: 0.428 0.051 0.719
Sr: 0.150 0.395 0.462
Sr: 0.504 0.753 0.130
P: 0.586 0.086 0.173
Sr: 0.645 0.900 0.962
Sr: 0.933 0.850 0.538
P: 0.664 0.664 0.327
P: 0.125 0.996 0.750
P: 0.973 0.066 0.425
Sr: 0.822 0.082 0.781
P: 0.004 0.375 0.250
P: 0.277 0.392 0.075
P: 0.246 0.875 0.250
Sr: 0.100 0.683 0.038
Sr: 0.626 0.376 0.630

## Properties
D(E_F)	0.1	states/eV/f.u.
volume	1174.3	Å³/cell
calculated density	3.7	Mg/m³

=====

Version Q
Compound: Sr3P2
Source: Alexandria
Functional: PBEsol
Structure: optimized geometry

abc: 5.600 5.600 5.600
angles: 90.00 90.00 90.00
Element x y z (fractional)
P: 0.500 0.500 0.500
Sr: 0.000 0.500 0.500
Sr: 0.500 0.000 0.500
P: 0.000 0.000 0.000
Sr: 0.500 0.500 0.000

## Properties
D(E_F)	0.1	states/eV/f.u.
volume	175.6	Å³/cell
calculated density	3.1	Mg/m³

=====

version P wins, 436 meV/atom ahead of the next structure.

=====

Version P
Compound: Sr2TcP
Source: Alexandria
Functional: PBEsol
Structure: optimized geometry

abc: 3.151 4.130 7.085
angles: 90.00 90.00 90.00
Element x y z (fractional)
Sr: 0.000 0.000 0.737
Tc: 0.500 0.500 0.000
Sr: 0.000 0.000 0.263
P: 0.500 0.500 0.500

## Properties
D(E_F)	3.9	states/eV/f.u.
volume	92.2	Å³/cell
calculated density	5.5	Mg/m³

=====

Version Q
Compound: Sr2TcP
Source: Alexandria
Functional: PBEsol
Structure: optimized geometry

abc: 4.040 4.690 5.997
angles: 113.02 90.00 90.00
Element x y z (fractional)
Sr: 0.500 0.270 0.540
Tc: 0.000 0.670 0.340
Sr: 0.000 0.985 0.969
P: 0.500 0.574 0.148

## Properties
D(E_F)	2.5	states/eV/f.u.
volume	104.6	Å³/cell
calculated density	4.8	Mg/m³

=====

version Q wins, 622 meV/atom ahead of the next structure.

=====

Version P
Compound: SrTl2P
Source: Alexandria
Functional: PBEsol
Structure: optimized geometry

abc: 3.817 3.817 7.013
angles: 90.00 90.00 90.00
Element x y z (fractional)
Tl: 0.000 0.000 0.205
Tl: 0.000 0.000 0.795
Sr: 0.500 0.500 0.500
P: 0.500 0.500 0.000

## Properties
D(E_F)	2.1	states/eV/f.u.
volume	102.2	Å³/cell
calculated density	8.6	Mg/m³

=====

Version Q
Compound: SrTl2P
Source: Alexandria
Functional: PBEsol
Structure: optimized geometry

abc: 4.021 4.593 6.374
angles: 111.11 90.00 90.00
Element x y z (fractional)
Tl: 0.000 0.909 0.819
Tl: 0.500 0.321 0.643
P: 0.000 0.149 0.298
Sr: 0.500 0.605 0.211

## Properties
D(E_F)	1.4	states/eV/f.u.
volume	109.8	Å³/cell
calculated density	8.0	Mg/m³

=====

version Q wins, 287 meV/atom ahead of the next structure.

=====

Version P
Compound: Ta2TeP
Source: Alexandria
Functional: PBEsol
Structure: optimized geometry

abc: 3.268 4.565 4.565
angles: 90.00 90.00 90.00
Element x y z (fractional)
P: 0.500 0.000 0.000
Te: 0.500 0.500 0.500
Ta: 0.000 0.500 0.000
Ta: 0.000 0.000 0.500

## Properties
D(E_F)	3.7	states/eV/f.u.
volume	68.1	Å³/cell
calculated density	12.7	Mg/m³

=====

Version Q
Compound: Ta2TeP
Source: Alexandria
Functional: PBEsol
Structure: optimized geometry

abc: 3.219 3.219 6.588
angles: 90.00 90.00 90.00
Element x y z (fractional)
P: 0.500 0.500 0.500
Ta: 0.000 0.000 0.287
Ta: 0.000 0.000 0.713
Te: 0.500 0.500 0.000

## Properties
D(E_F)	2.7	states/eV/f.u.
volume	68.2	Å³/cell
calculated density	12.7	Mg/m³

=====

version Q wins, 171 meV/atom ahead of the next structure.

=====

Version P
Compound: TcP
Source: Alexandria
Functional: PBEsol
Structure: optimized geometry

abc: 3.031 5.641 6.190
angles: 90.00 90.00 90.00
Element x y z (fractional)
Tc: 0.250 0.992 0.301
Tc: 0.750 0.008 0.699
Tc: 0.750 0.508 0.801
P: 0.250 0.813 0.941
P: 0.750 0.187 0.059
P: 0.750 0.687 0.441
Tc: 0.250 0.492 0.199
P: 0.250 0.313 0.559

## Properties
D(E_F)	1.4	states/eV/f.u.
volume	105.8	Å³/cell
calculated density	8.1	Mg/m³

=====

Version Q
Compound: TcP
Source: Alexandria
Functional: PBEsol
Structure: optimized geometry

abc: 2.913 2.913 2.913
angles: 90.00 90.00 90.00
Element x y z (fractional)
Tc: 0.000 0.000 0.000
P: 0.500 0.500 0.500

## Properties
D(E_F)	1.2	states/eV/f.u.
volume	24.7	Å³/cell
calculated density	8.7	Mg/m³

=====

version P wins, 145 meV/atom ahead of the next structure.

=====

Version P
Compound: TcP
Source: Alexandria
Functional: PBEsol
Structure: optimized geometry

abc: 2.933 4.098 4.302
angles: 90.00 90.00 90.00
Element x y z (fractional)
P: 0.000 0.391 0.000
P: 0.500 0.609 0.500
Tc: 0.000 0.129 0.500
Tc: 0.500 0.871 0.000

## Properties
D(E_F)	1.0	states/eV/f.u.
volume	51.7	Å³/cell
calculated density	8.3	Mg/m³

=====

Version Q
Compound: TcP
Source: Alexandria
Functional: PBEsol
Structure: optimized geometry

abc: 3.016 4.338 6.503
angles: 99.59 90.00 110.34
Element x y z (fractional)
Tc: 0.237 0.474 0.062
P: 0.715 0.431 0.358
Tc: 0.000 0.999 0.360
Tc: 0.322 0.644 0.660
P: 0.620 0.240 0.757
P: 0.940 0.879 0.970

## Properties
D(E_F)	0.8	states/eV/f.u.
volume	78.5	Å³/cell
calculated density	8.2	Mg/m³

=====

version Q wins, 61 meV/atom ahead of the next structure.

=====

Version P
Compound: TcP
Source: Alexandria
Functional: PBEsol
Structure: optimized geometry

abc: 2.913 3.298 3.298
angles: 120.00 90.00 90.00
Element x y z (fractional)
P: 0.000 0.000 0.000
Tc: 0.500 0.333 0.667

## Properties
D(E_F)	0.9	states/eV/f.u.
volume	27.4	Å³/cell
calculated density	7.8	Mg/m³

=====

Version Q
Compound: TcP
Source: Alexandria
Functional: PBEsol
Structure: optimized geometry

abc: 4.748 4.748 4.748
angles: 90.00 90.00 90.00
Element x y z (fractional)
Tc: 0.140 0.140 0.140
Tc: 0.860 0.640 0.360
P: 0.577 0.923 0.077
Tc: 0.360 0.860 0.640
P: 0.077 0.577 0.923
P: 0.923 0.077 0.577
Tc: 0.640 0.360 0.860
P: 0.423 0.423 0.423

## Properties
volume	107.0	Å³/cell
calculated density	8.0	Mg/m³

=====

version Q wins, 88 meV/atom ahead of the next structure.

=====

Version P
Compound: Tc2TeP
Source: Alexandria
Functional: PBEsol
Structure: optimized geometry

abc: 3.112 4.025 5.099
angles: 90.00 90.00 90.00
Element x y z (fractional)
Te: 0.500 0.500 0.000
Tc: 0.500 0.000 0.500
P: 0.000 0.500 0.500
Tc: 0.000 0.000 0.000

## Properties
D(E_F)	3.9	states/eV/f.u.
volume	63.9	Å³/cell
calculated density	9.2	Mg/m³

=====

Version Q
Compound: Tc2TeP
Source: Alexandria
Functional: PBEsol
Structure: optimized geometry

abc: 4.379 4.379 4.379
angles: 60.00 60.00 60.00
Element x y z (fractional)
P: 0.500 0.500 0.500
Tc: 0.750 0.750 0.750
Te: 0.000 0.000 0.000
Tc: 0.250 0.250 0.250

## Properties
D(E_F)	1.9	states/eV/f.u.
volume	59.4	Å³/cell
calculated density	9.9	Mg/m³

=====

version Q wins, 561 meV/atom ahead of the next structure.